Here is a relaxed CrSi23 crystal from the Alexandria database. Energies are from GGA-PBE.

abc: 10.214 10.214 10.214
angles: 90.00 90.00 90.00
Site moments in Bohr magnetons follow the coordinates.
Element x y z (fractional)
Si  0.750  0.000  0.500  -0.03
Si  0.317  0.317  0.317  -0.01
Si  0.817  0.817  0.817  -0.01
Si  0.683  0.683  0.317  -0.01
Si  0.000  0.308  0.883  0.00
Si  0.817  0.817  0.183  -0.01
Si  0.317  0.683  0.683  -0.01
Si  0.692  0.883  0.000  0.00
Si  0.000  0.692  0.117  0.00
Si  0.117  0.000  0.692  0.00
Si  0.250  0.000  0.500  -0.03
Si  0.808  0.500  0.383  0.00
Si  0.308  0.883  0.000  0.00
Si  0.183  0.183  0.817  -0.01
Si  0.000  0.308  0.117  0.00
Si  0.500  0.617  0.808  0.00
Si  0.383  0.192  0.500  0.00
Si  0.183  0.183  0.183  -0.01
Si  0.500  0.383  0.808  0.00
Si  0.500  0.383  0.192  0.00
Si  0.817  0.183  0.183  -0.01
Si  0.317  0.317  0.683  -0.01
Si  0.500  0.617  0.192  0.00
Si  0.808  0.500  0.617  0.00
Si  0.117  0.000  0.308  0.00
Si  0.883  0.000  0.308  0.00
Si  0.683  0.317  0.683  -0.01
Si  0.000  0.692  0.883  0.00
Si  0.683  0.683  0.683  -0.01
Si  0.683  0.317  0.317  -0.01
Si  0.192  0.500  0.383  0.00
Si  0.192  0.500  0.617  0.00
Si  0.317  0.683  0.317  -0.01
Si  0.183  0.817  0.183  -0.01
Si  0.500  0.750  0.000  -0.03
Si  0.183  0.817  0.817  -0.01
Si  0.617  0.192  0.500  0.00
Si  0.500  0.250  0.000  -0.03
Si  0.817  0.183  0.817  -0.01
Si  0.883  0.000  0.692  0.00
Si  0.692  0.117  0.000  0.00
Si  0.000  0.500  0.250  -0.03
Si  0.617  0.808  0.500  0.00
Si  0.000  0.500  0.750  -0.03
Si  0.383  0.808  0.500  0.00
Si  0.308  0.117  0.000  0.00
Cr  0.500  0.500  0.500  -4.14
Cr  0.000  0.000  0.000  -4.14

Summary:
* uncorrected formation energy: 3.5 eV per formula unit
* final energy: -261.69 eV/cell
* SG: Pm-3n